Compound: La2CdW
Source: the Alexandria database
Functional: PBE
Structure: relaxed

crystal system: orthorhombic
size of the total moment: 0.0 μB per cell
E_form: 509.9 meV per atom

```
data_La2CdW
_chemical_formula_sum 'La2 Cd1 W1'
_cell_length_a 3.3016
_cell_length_b 4.1159
_cell_length_c 7.4940
_cell_angle_alpha 90.00
_cell_angle_beta 90.00
_cell_angle_gamma 90.00
_space_group_name_H-M_alt 'P m m 2'
_space_group_IT_number 25
_space_group_name_Hall 'P 2 -2'
loop_
_atom_site_label
_atom_site_fract_x
_atom_site_fract_y
_atom_site_fract_z
La1 0.0000 0.0000 0.0000
La2 0.5000 0.5000 0.3139
Cd1 0.5000 0.5000 0.7411
W1 0.0000 0.0000 0.5574
```